1.
SrMoAs2Ir | PBE | optimized geometry

## Properties
magnetization	0.658	μB per atom
DFT total energy	-5.610	eV/atom
DOS(E_F)	1.035	states/eV per atom
symmetry	P4/mmm

Cell: 5.041 5.041 4.937 Å, 90.00 90.00 90.00°
Fractional positions:
Sr 0.000 0.000 0.000
Mo 0.500 0.500 0.000
As 0.000 0.500 0.500
As 0.500 0.000 0.500
Ir 0.500 0.500 0.500


2.
VMoAsIr2 | PBE | optimized geometry

## Properties
magnetization	0.519	μB per atom
DFT total energy	-7.310	eV/atom
DOS(E_F)	0.917	states/eV per atom
symmetry	P4/mmm

Cell: 4.524 4.524 4.546 Å, 90.00 90.00 90.00°
Fractional positions:
V 0.000 0.000 0.000
Mo 0.500 0.500 0.500
As 0.000 0.000 0.500
Ir 0.000 0.500 0.000
Ir 0.500 0.000 0.000


3.
As2IrN4 | PBE | optimized geometry

## Properties
magnetization	0.000	μB per atom
DFT total energy	-6.122	eV/atom
DOS(E_F)	0.265	states/eV per atom
uncorrected formation energy	1.2294	eV/atom
symmetry	I4/mmm

Cell: 6.540 6.540 6.540 Å, 145.73 145.73 49.25°
Fractional positions:
As 0.178 0.178 0.000
As 0.822 0.822 0.000
Ir 0.500 0.500 0.000
N 0.000 0.500 0.500
N 0.326 0.326 0.000
N 0.500 0.000 0.500
N 0.674 0.674 0.000